DFT (GGA-PBE) results for an optimized crystal structure of NaGdSO.

Cell lengths 3.953, 3.953, 9.241 Å; angles 90.00, 90.00, 90.00 degrees
Fractional positions:
S 0.750 0.750 0.300
S 0.250 0.250 0.700
Na 0.750 0.250 0.500
Na 0.250 0.750 0.500
Gd 0.750 0.750 0.879
Gd 0.250 0.250 0.121
O 0.250 0.750 0.000
O 0.750 0.250 0.000

Values from the calculation:
Space group: P4/nmm, No. 129
Electronic total energy in eV/atom: -6.00
Total magnetic moment in μB/f.u.: 0.0

---

DFT (GGA-PBE) results for an optimized crystal structure of NaGdSO.

Cell lengths 6.789, 7.348, 6.347 Å; angles 90.00, 103.74, 90.00 degrees
Fractional positions:
Gd 0.544 0.623 0.237
Gd 0.544 0.877 0.737
Gd 0.456 0.377 0.763
Gd 0.456 0.123 0.263
S 0.214 0.083 0.832
S 0.786 0.583 0.668
S 0.214 0.417 0.332
S 0.786 0.917 0.168
O 0.616 0.155 0.616
O 0.384 0.845 0.384
O 0.616 0.345 0.116
O 0.384 0.655 0.884
Na 0.913 0.254 0.006
Na 0.087 0.754 0.494
Na 0.087 0.746 0.994
Na 0.913 0.246 0.506

Values from the calculation:
Space group: P2_1/c, No. 14
Electronic total energy in eV/atom: -6.06
Total magnetic moment in μB/f.u.: 0.0

---

DFT (GGA-PBE) results for an optimized crystal structure of NaGdSO.

Cell lengths 5.588, 5.600, 10.525 Å; angles 90.00, 105.16, 90.00 degrees
Fractional positions:
S 0.094 0.113 0.683
S 0.405 0.114 0.317
S 0.906 0.613 0.317
S 0.595 0.614 0.683
Gd 0.446 0.861 0.890
Gd 0.554 0.361 0.110
Gd 0.054 0.861 0.110
Gd 0.946 0.361 0.890
Na 0.950 0.113 0.406
Na 0.546 0.116 0.594
Na 0.050 0.613 0.594
Na 0.454 0.616 0.406
O 0.250 0.611 0.000
O 0.250 0.111 0.000
O 0.750 0.611 0.000
O 0.750 0.111 0.000

Values from the calculation:
Space group: P2_1, No. 4
Electronic total energy in eV/atom: -6.06
Total magnetic moment in μB/f.u.: 0.0

---

DFT (GGA-PBE) results for an optimized crystal structure of Na2TbGdO4.

Cell lengths 6.136, 6.136, 6.136 Å; angles 135.83, 135.83, 64.24 degrees
Fractional positions:
O 0.972 0.472 0.500
O 0.722 0.722 0.000
O 0.278 0.278 0.000
O 0.528 0.028 0.500
Gd 0.750 0.250 0.500
Na 0.000 0.000 0.000
Na 0.250 0.750 0.500
Tb 0.500 0.500 0.000

Values from the calculation:
Space group: I-4m2, No. 119
Electronic total energy in eV/atom: -6.74
Total magnetic moment in μB/f.u.: 0.0